*one*
# KSeN2F

A relaxed KSeN2F crystal (GGA-PBEsol, Alexandria).

a = 3.718 Å, b = 3.718 Å, c = 4.904 Å
α = 90.00°, β = 90.00°, γ = 90.00°
Positions (direct):
K (0.500, 0.500, 0.500)
N (0.000, 0.500, 0.000)
N (0.500, 0.000, 0.000)
Se (0.000, 0.000, 0.000)
F (0.000, 0.000, 0.500)

Output
* SG: P4/mmm, No. 123


*two*
# KSeN2F

A relaxed KSeN2F crystal (GGA-PBEsol, Alexandria).

a = 4.757 Å, b = 5.499 Å, c = 5.499 Å
α = 90.00°, β = 90.00°, γ = 90.00°
Positions (direct):
K (0.000, 0.000, 0.000)
N (0.000, 0.000, 0.500)
N (0.000, 0.500, 0.000)
Se (0.500, 0.500, 0.500)
F (0.500, 0.000, 0.000)

Output
* SG: P4/mmm, No. 123


Stability order, top to bottom: *one*, *two*


*one*
# K3SO4F

A relaxed K3SO4F crystal (GGA-PBEsol, Alexandria).

a = 7.209 Å, b = 7.451 Å, c = 7.209 Å
α = 61.07°, β = 90.00°, γ = 118.93°
Positions (direct):
K (0.190, 0.000, 0.690)
K (0.750, 0.500, 0.250)
K (0.310, 0.000, 0.190)
K (0.810, 0.000, 0.310)
K (0.690, 0.000, 0.810)
K (0.250, 0.500, 0.750)
S (0.750, 0.500, 0.750)
S (0.250, 0.500, 0.250)
O (0.051, 0.340, 0.449)
O (0.449, 0.660, 0.288)
O (0.788, 0.340, 0.949)
O (0.212, 0.660, 0.051)
O (0.288, 0.340, 0.212)
O (0.551, 0.340, 0.712)
O (0.712, 0.660, 0.788)
O (0.949, 0.660, 0.551)
F (0.500, 0.000, 0.500)
F (0.000, 0.000, 0.000)

Output
* SG: I4/mcm, No. 140


*two*
# K3SO4F

A relaxed K3SO4F crystal (GGA-PBEsol, Alexandria).

a = 5.375 Å, b = 5.375 Å, c = 5.375 Å
α = 90.00°, β = 90.00°, γ = 90.00°
Positions (direct):
K (0.500, 0.000, 0.000)
K (0.000, 0.000, 0.500)
K (0.000, 0.500, 0.000)
S (0.500, 0.500, 0.500)
O (0.340, 0.340, 0.660)
O (0.340, 0.660, 0.340)
O (0.660, 0.340, 0.340)
O (0.660, 0.660, 0.660)
F (0.000, 0.000, 0.000)

Output
* SG: P-43m, No. 215


Stability order, top to bottom: *one*, *two*